Material: Be2TlAg
Method: DFT, PBE-GGA
State: optimized geometry Values from VASP.

```
&SYSTEM
  ibrav = 0, nat = 4, ntyp = 3
/
ATOMIC_SPECIES
Be 9.01 Be.upf
Ag 107.87 Ag.upf
Tl 204.38 Tl.upf
CELL_PARAMETERS angstrom
3.8078 0.0000 0.0000
0.0000 3.1685 -0.2040
0.0000 0.8601 5.2955
ATOMIC_POSITIONS crystal
Be 0.5000 0.1085 0.2123
Be 0.0000 0.1686 0.9772
Ag 0.5000 0.6802 0.8661
Tl 0.0000 0.5427 0.4443
```

The value obtained for the spin magnetization is 0.00 μB per atom. The calculation puts the formation enthalpy at 0 K at 0.482 eV per atom. The density of states at the Fermi level comes out at 0.1739 states/eV per atom.